Computed, not measured: crystalline LiHg2BiPb at its relaxed geometry at the PBE-GGA level of DFT.

Values from the calculation:
As for the space-group type: No. 123. The value obtained for the density of states at the Fermi level is 0.409 states/eV per atom. For the energy above the lowest structure with this stoichiometry, the calculation gives 99 meV/atom. The energy of formation from the pure elements comes out at 0.030 eV/atom. As for the total DFT energy (no corrections): -9.96 eV for the cell shown. The calculation puts the magnetization at 0.000 μB/cell. The crystal system is tetragonal.

POSCAR file:
```
LiHg2BiPb
1.0
5.0349 0.0000 0.0000
0.0000 5.0349 0.0000
0.0000 0.0000 5.4553
Li Hg Bi Pb
1 2 1 1
Direct
0.0000 0.0000 0.0000 Li
0.0000 0.5000 0.0000 Hg
0.5000 0.0000 0.0000 Hg
0.0000 0.0000 0.5000 Bi
0.5000 0.5000 0.5000 Pb
```